# 1
The following is a PBE calculation of crystalline CdReOs2 at its relaxed geometry, from the Alexandria database.

formation energy	516	meV per atom
magnetic moment	0.00	μB/f.u.
DFT total energy	-8.440	eV/atom

a b c (Å): 9.286 2.794 4.978
angles (deg): 90.00 100.42 90.00
Positions (direct):
Cd: 0.000 0.000 0.000
Cd: 0.500 0.500 0.000
Re: 0.000 0.500 0.500
Re: 0.500 0.000 0.500
Os: 0.236 0.000 0.718
Os: 0.264 0.500 0.282
Os: 0.736 0.500 0.718
Os: 0.764 0.000 0.282

# 2
The following is a PBE calculation of crystalline CdRe2Os2 at its relaxed geometry, from the Alexandria database.

formation energy	308	meV per atom
magnetic moment	0.00	μB/f.u.
DFT total energy	-9.346	eV/atom

a b c (Å): 7.697 7.697 2.777
angles (deg): 90.00 90.00 90.00
Positions (direct):
Cd: 0.000 0.000 0.000
Cd: 0.500 0.500 0.000
Re: 0.163 0.337 0.500
Re: 0.337 0.837 0.500
Re: 0.663 0.163 0.500
Re: 0.837 0.663 0.500
Os: 0.126 0.626 0.000
Os: 0.374 0.126 0.000
Os: 0.626 0.874 0.000
Os: 0.874 0.374 0.000

# 3
The following is a PBE calculation of crystalline CdReOs2 at its relaxed geometry, from the Alexandria database.

formation energy	310	meV per atom
magnetic moment	0.00	μB/f.u.
DFT total energy	-8.646	eV/atom

a b c (Å): 2.790 2.790 28.004
angles (deg): 90.00 90.00 120.00
Positions (direct):
Cd: 0.000 0.000 0.000
Cd: 0.333 0.667 0.667
Cd: 0.667 0.333 0.333
Re: 0.000 0.000 0.242
Re: 0.333 0.667 0.909
Re: 0.667 0.333 0.575
Os: 0.000 0.000 0.499
Os: 0.000 0.000 0.756
Os: 0.333 0.667 0.166
Os: 0.333 0.667 0.422
Os: 0.667 0.333 0.089
Os: 0.667 0.333 0.833

# 4
The following is a PBE calculation of crystalline CdReOs2 at its relaxed geometry, from the Alexandria database.

formation energy	825	meV per atom
magnetic moment	0.00	μB/f.u.
DFT total energy	-8.131	eV/atom

a b c (Å): 5.616 9.107 2.743
angles (deg): 90.00 115.71 90.00
Positions (direct):
Cd: 0.000 0.000 0.000
Cd: 0.500 0.500 0.000
Re: 0.000 0.500 0.000
Re: 0.500 0.000 0.000
Os: 0.250 0.250 0.500
Os: 0.250 0.750 0.500
Os: 0.750 0.250 0.500
Os: 0.750 0.750 0.500

What did the first record say?
The following is a PBE calculation of crystalline CdReOs2 at its relaxed geometry, from the Alexandria database.

formation energy	516	meV per atom
magnetic moment	0.00	μB/f.u.
DFT total energy	-8.440	eV/atom

a b c (Å): 9.286 2.794 4.978
angles (deg): 90.00 100.42 90.00
Positions (direct):
Cd: 0.000 0.000 0.000
Cd: 0.500 0.500 0.000
Re: 0.000 0.500 0.500
Re: 0.500 0.000 0.500
Os: 0.236 0.000 0.718
Os: 0.264 0.500 0.282
Os: 0.736 0.500 0.718
Os: 0.764 0.000 0.282

Among the records above, which one has the lowest DFT total energy?
CdRe2Os2